Entry 1:
A relaxed Ca2BiPd5Au2 crystal, computed with PBE-GGA.

The magnetization is 0.00 μB/f.u.

The space group is P4/mbm (No. 127) and the conventional cell measures 9.848, 9.848 and 4.107 Å, with angles of 90.00, 90.00 and 90.00 degrees. The distinct sites, in fractional coordinates, are Ca at (0.169, 0.331, 0.000), Bi at (0.000, 0.000, 0.000), Pd at (0.000, 0.500, 0.500), Pd at (0.064, 0.797, 0.500) and Au at (0.128, 0.628, 0.000).

Entry 2:
A relaxed Ca2HOF crystal, computed with PBE-GGA.

The magnetization is 0.37 μB/f.u.

The space group is P4/mmm (No. 123) and the conventional cell measures 4.492, 4.492 and 4.461 Å, with angles of 90.00, 90.00 and 90.00 degrees. The distinct sites, in fractional coordinates, are Ca at (0.000, 0.500, 0.000), H at (0.000, 0.000, 0.500), O at (0.500, 0.500, 0.000) and F at (0.500, 0.500, 0.500).

Number 1: DFT total energy -4.59 eV per atom. Number 2: DFT total energy -4.17 eV per atom.